Entry 1:
DFT (GGA-PBE) results for a geometry-optimized Na2InGeAu6 structure.

extended XYZ file:
```
10
Lattice="0.0000 5.1310 5.1310 5.1310 0.0000 5.1310 5.1310 5.1310 0.0000" Properties=species:S:1:pos:R:3 pbc="T T T"
Na 2.5655 2.5655 2.5655
Na 7.6965 7.6965 7.6965
In 0.0000 0.0000 0.0000
Ge 5.1310 5.1310 5.1310
Au 5.1310 5.1310 2.6526
Au 5.1310 2.6526 5.1310
Au 7.6095 5.1310 5.1310
Au 2.6526 5.1310 5.1310
Au 5.1310 7.6095 5.1310
Au 5.1310 5.1310 7.6095
```

Summary:
symmetry	Fm-3m, No. 225
M_tot	0.0	μB per cell

Entry 2:
DFT (GGA-PBE) results for a geometry-optimized PaInGeAu structure.

extended XYZ file:
```
16
Lattice="7.0531 0.0000 0.0000 0.0000 7.0531 0.0000 0.0000 0.0000 7.0531" Properties=species:S:1:pos:R:3 pbc="T T T"
Pa 0.0000 0.0000 0.0000
Pa 0.0000 3.5265 3.5265
Pa 3.5265 0.0000 3.5265
Pa 3.5265 3.5265 0.0000
In 0.0000 0.0000 3.5265
In 0.0000 3.5265 0.0000
In 3.5265 0.0000 0.0000
In 3.5265 3.5265 3.5265
Ge 1.7633 1.7633 1.7633
Ge 1.7633 5.2898 5.2898
Ge 5.2898 1.7633 5.2898
Ge 5.2898 5.2898 1.7633
Au 1.7633 1.7633 5.2898
Au 1.7633 5.2898 1.7633
Au 5.2898 1.7633 1.7633
Au 5.2898 5.2898 5.2898
```

Summary:
symmetry	F-43m, No. 216
M_tot	3.8	μB per cell

Entry 3:
DFT (GGA-PBE) results for a geometry-optimized InGe2PbAu6 structure.

extended XYZ file:
```
20
Lattice="4.6309 -7.0638 0.0000 4.6309 7.0638 0.0000 -4.3861 0.0000 6.6325" Properties=species:S:1:pos:R:3 pbc="T T T"
In 1.3413 4.3497 4.9744
In 3.5343 -4.3497 1.6581
Ge -1.3133 1.9549 4.9625
Ge 0.8797 -1.9549 1.6462
Ge 3.9958 1.9549 4.9863
Ge 6.1889 -1.9549 1.6701
Pb 3.5343 1.0525 1.6581
Pb 1.3413 -1.0525 4.9744
Au 0.5946 0.5257 1.1525
Au 3.6829 3.8531 0.1955
Au -1.5985 -0.5257 4.4688
Au 0.9868 1.8691 3.5786
Au 3.3857 3.8531 3.1208
Au 3.1798 -1.8691 0.2623
Au 1.6957 1.8691 6.3702
Au 1.4899 -3.8531 3.5118
Au 3.8888 -1.8691 3.0539
Au 6.4741 0.5257 2.1637
Au 1.1926 -3.8531 6.4370
Au 4.2810 -0.5257 5.4800
```

Summary:
symmetry	C2/c, No. 15
M_tot	0.0	μB per cell

Number 1: E -29.52 eV for the cell shown. Number 2: E -84.20 eV for the cell shown. Number 3: E -70.51 eV for the cell shown.